Compound: Tb2YSc6
Source: Alexandria via LeMat-Bulk
Functional: PBE-GGA
Structure: optimized geometry

Computed properties:
calculated formation energy: 164 meV per atom
energy above the lowest structure with this stoichiometry: 98 meV per atom

Lattice parameters (Å, degrees): 3.3540 3.3540 25.5640 90.00 90.00 120.00
Element x y z (fractional)
Tb 0.6667 0.3333 0.7688
Tb 0.6667 0.3333 0.2312
Y 0.3333 0.6667 0.0000
Sc 0.6667 0.3333 0.4400
Sc 0.3333 0.6667 0.3411
Sc 0.3333 0.6667 0.1248
Sc 0.3333 0.6667 0.8752
Sc 0.3333 0.6667 0.6589
Sc 0.6667 0.3333 0.5600

---

Compound: TbMgBi
Source: Alexandria via LeMat-Bulk
Functional: PBE-GGA
Structure: optimized geometry

Computed properties:
calculated formation energy: -482 meV per atom
energy above the lowest structure with this stoichiometry: 0 meV per atom

Lattice parameters (Å, degrees): 4.4178 4.4178 8.7091 90.00 90.00 90.00
Element x y z (fractional)
Bi 0.3362 0.8362 0.7965
Bi 0.8362 0.3362 0.2035
Tb 0.3362 0.8362 0.1646
Tb 0.8362 0.3362 0.8354
Mg 0.8370 0.8370 0.5000
Mg 0.3370 0.3370 0.5000

---

Compound: Np2Be4Si3Ge
Source: Alexandria via LeMat-Bulk
Functional: PBE-GGA
Structure: optimized geometry

Computed properties:
formation energy (no corrections): -1.555 eV per formula unit

Lattice parameters (Å, degrees): 3.9409 3.9409 9.3283 90.00 90.00 90.00
Element x y z (fractional)
Np 0.5000 0.0000 0.2484
Np 0.0000 0.5000 0.7516
Be 0.5000 0.5000 0.0000
Be 0.0000 0.0000 0.0000
Be 0.5000 0.0000 0.6325
Be 0.0000 0.5000 0.3675
Si 0.0000 0.0000 0.5000
Si 0.5000 0.0000 0.8701
Si 0.0000 0.5000 0.1299
Ge 0.5000 0.5000 0.5000

---

Compound: Pm3AgGe2
Source: Alexandria via LeMat-Bulk
Functional: PBE-GGA
Structure: optimized geometry

Computed properties:
calculated formation energy: -529 meV per atom

Lattice parameters (Å, degrees): 7.6050 7.6050 7.6050 63.67 63.67 63.67
Element x y z (fractional)
Pm 0.4568 0.0432 0.7500
Pm 0.0432 0.7500 0.4568
Pm 0.7500 0.4568 0.0432
Pm 0.5432 0.9568 0.2500
Pm 0.9568 0.2500 0.5432
Pm 0.2500 0.5432 0.9568
Ag 0.5000 0.5000 0.5000
Ag 0.0000 0.0000 0.0000
Ge 0.3555 0.3555 0.3555
Ge 0.1445 0.1445 0.1445
Ge 0.8555 0.8555 0.8555
Ge 0.6445 0.6445 0.6445

---

Compound: CaAuBr2
Source: Alexandria via LeMat-Bulk
Functional: PBE-GGA
Structure: optimized geometry

Computed properties:
formation energy (no corrections): -3.398 eV per formula unit
energy above the lowest structure with this stoichiometry: 146 meV per atom

Lattice parameters (Å, degrees): 5.2387 5.2387 5.2387 60.00 60.00 60.00
Element x y z (fractional)
Ca 0.0000 0.0000 0.0000
Au 0.5000 0.5000 0.5000
Br 0.2500 0.2500 0.2500
Br 0.7500 0.7500 0.7500

---

Compound: Nd2Er3Ga4
Source: Alexandria via LeMat-Bulk
Functional: PBE-GGA
Structure: optimized geometry

Computed properties:
calculated formation energy: -583 meV per atom
energy above the lowest structure with this stoichiometry: 0 meV per atom

Lattice parameters (Å, degrees): 7.5850 7.9491 7.9685 90.00 90.00 106.97
Element x y z (fractional)
Nd 0.5749 0.1918 0.3199
Nd 0.9251 0.8082 0.8198
Nd 0.4251 0.8082 0.6802
Nd 0.0749 0.1918 0.1802
Er 0.0000 0.5000 0.5000
Er 0.5000 0.5000 0.0000
Er 0.7506 0.2422 0.8248
Er 0.7494 0.7578 0.3248
Er 0.2494 0.7578 0.1752
Er 0.2506 0.2422 0.6752
Ga 0.8679 0.0802 0.5309
Ga 0.6321 0.9198 0.0309
Ga 0.1321 0.9198 0.4691
Ga 0.3679 0.0802 0.9691
Ga 0.8772 0.4948 0.1195
Ga 0.6228 0.5052 0.6195
Ga 0.1228 0.5052 0.8805
Ga 0.3772 0.4948 0.3805

---

Compound: Sm6H2Pb3
Source: Alexandria via LeMat-Bulk
Functional: PBE-GGA
Structure: optimized geometry

Lattice parameters (Å, degrees): 4.7833 4.7833 13.3693 100.31 100.31 90.00
Element x y z (fractional)
Sm 0.0837 0.5837 0.1675
Sm 0.5837 0.0837 0.1675
Sm 0.9163 0.4163 0.8325
Sm 0.4163 0.9163 0.8325
Sm 0.6985 0.6985 0.3971
Sm 0.3015 0.3015 0.6029
H 0.3962 0.3962 0.7924
H 0.6038 0.6038 0.2076
Pb 0.0000 0.0000 0.0000
Pb 0.8238 0.8238 0.6477
Pb 0.1762 0.1762 0.3523

---

Compound: BeFeAs3
Source: Alexandria via LeMat-Bulk
Functional: PBE-GGA
Structure: optimized geometry

Computed properties:
calculated formation energy: 970 meV per atom
energy above the lowest structure with this stoichiometry: 196 meV per atom

Lattice parameters (Å, degrees): 4.3838 4.3838 4.3838 90.00 90.00 90.00
Element x y z (fractional)
Be 0.0000 0.0000 0.0000
As 0.0000 0.5000 0.0000
As 0.0000 0.0000 0.5000
As 0.5000 0.0000 0.0000
Fe 0.5000 0.5000 0.5000

---

no.,total DFT energy (no corrections) (Ry per atom)
1,-0.427
2,-0.283
3,-0.465
4,-0.361
5,-0.221
6,-0.331
7,-0.341
8,-0.313